[1]
Dy2PdI: relaxed, PBE.

Unit cell a=8.2402 b=8.2402 c=8.2402 alpha=29.13 beta=29.13 gamma=29.13
Element x y z (fractional)
1 Dy 0.2286 0.2286 0.2286
2 Dy 0.7714 0.7714 0.7714
3 Pd 0.5000 0.5000 0.5000
4 I 0.0000 0.0000 0.0000

Values from the calculation:
Electronic total energy ... -19.40 eV per cell
Calculated volume ... 117.3 Å³ per cell
ρ ... 7.90 g/cm³
Relative energy among the computed polymorphs ... 0 meV/atom
Formation energy without anion corrections ... -0.86 eV per atom


[2]
CeHoPb2: relaxed, PBE.

Unit cell a=5.7694 b=5.7694 c=3.5516 alpha=90.00 beta=90.00 gamma=103.00
Element x y z (fractional)
1 Ce 0.0000 0.0000 0.0000
2 Ho 0.5000 0.5000 0.0000
3 Pb 0.0000 0.5000 0.5000
4 Pb 0.5000 0.0000 0.5000

Values from the calculation:
Electronic total energy ... -19.53 eV per cell
Calculated volume ... 115.2 Å³ per cell
ΔH_f (0 K) ... -0.40 eV per atom
ρ ... 10.37 g/cm³


[3]
Tb4Sm5Tm3: relaxed, PBE.

Unit cell a=8.6325 b=8.6325 c=9.2900 alpha=115.08 beta=115.08 gamma=39.88
Element x y z (fractional)
1 Tb 0.0808 0.0808 0.4394
2 Tb 0.2159 0.2159 0.8783
3 Tb 0.7841 0.7841 0.1217
4 Tb 0.9192 0.9192 0.5606
5 Sm 0.0000 0.0000 0.0000
6 Sm 0.3262 0.3262 0.6146
7 Sm 0.4244 0.4244 0.2973
8 Sm 0.5756 0.5756 0.7027
9 Sm 0.6738 0.6738 0.3854
10 Tm 0.2090 0.2090 0.2289
11 Tm 0.5000 0.5000 0.0000
12 Tm 0.7910 0.7910 0.7711

Values from the calculation:
Electronic total energy ... -52.80 eV per cell
Calculated volume ... 396.2 Å³ per cell
ΔH_f (0 K) ... 0.23 eV per atom
ρ ... 7.94 g/cm³


[4]
Sm8Ga2Tc: relaxed, PBE.

Unit cell a=8.7818 b=8.7818 c=8.7818 alpha=147.24 beta=122.27 gamma=67.98
Element x y z (fractional)
1 Sm 0.1148 0.3429 0.7719
2 Sm 0.1221 0.1221 0.0000
3 Sm 0.3293 0.0000 0.3293
4 Sm 0.4290 0.6571 0.7719
5 Sm 0.5710 0.3429 0.2281
6 Sm 0.6707 0.0000 0.6707
7 Sm 0.8779 0.8779 0.0000
8 Sm 0.8852 0.6571 0.2281
9 Ga 0.3066 0.8066 0.5000
10 Ga 0.6934 0.1934 0.5000
11 Tc 0.0000 0.5000 0.5000

Values from the calculation:
Electronic total energy ... -55.31 eV per cell
Calculated volume ... 305.7 Å³ per cell
ΔH_f (0 K) ... -0.10 eV per atom
ρ ... 7.82 g/cm³
Relative energy among the computed polymorphs ... 87 meV/atom


> Among the records above, which one has the lowest calculated volume?

CeHoPb2